First-principles (PBE) data for a relaxed UH3I6 crystal, as listed in Alexandria.

- uncorrected energy (eV/atom) = -3.1846
- N(E_F) (states/eV/cell) = 7.51
- volume (Å³ per atom) = 40.140
- crystal system = monoclinic
- symmetry = C2/m (12)

Cell lengths 8.3649, 8.3649, 6.9664 Å; angles 107.21, 107.21, 61.27 degrees
Last column: nearest neighbours and their distance in Å.
Positions (direct):
U 0.0000 0.0000 0.0000  6 I 2.94-3.23
H 0.1468 0.1468 0.5753  1 I 1.66
H 0.5000 0.5000 0.5000  4 I 3.07
H 0.8532 0.8532 0.4247  1 I 1.66
I 0.1536 0.6671 0.1805  1 U 2.94, 2 H 2.97-3.07
I 0.1997 0.1997 0.3973  1 H 1.66
I 0.3329 0.8464 0.8195  1 U 2.94, 2 H 2.97-3.07
I 0.6671 0.1536 0.1805  1 U 2.94, 2 H 2.97-3.07
I 0.8003 0.8003 0.6027  1 H 1.66
I 0.8464 0.3329 0.8195  1 U 2.94, 2 H 2.97-3.07

***

First-principles (PBE) data for a relaxed RuSIO2 crystal, as listed in Alexandria.

- energy relative to the elements, uncorrected (eV/atom) = 0.669
- uncorrected energy (eV/atom) = -4.3049
- N(E_F) (states/eV/cell) = 3.63
- volume (Å³ per atom) = 16.949
- crystal system = tetragonal
- symmetry = P4/mmm (123)

Cell lengths 3.6886, 3.6886, 6.2286 Å; angles 90.00, 90.00, 90.00 degrees
Last column: nearest neighbours and their distance in Å.
Positions (direct):
Ru 0.0000 0.0000 0.0000  4 I 2.61
S 0.5000 0.5000 0.5000  4 O 1.84
I 0.5000 0.5000 0.0000  4 Ru 2.61
O 0.0000 0.5000 0.5000  2 S 1.84
O 0.5000 0.0000 0.5000  2 S 1.84

***

First-principles (PBE) data for a relaxed KCd2Pb crystal, as listed in Alexandria.

- calculated formation energy (meV per atom) = -2
- uncorrected energy (eV/atom) = -1.6611
- N(E_F) (states/eV/cell) = 2.17
- volume (Å³ per atom) = 31.127
- distance to the lowest polymorph of the same formula (eV/atom) = 0.100
- crystal system = orthorhombic
- symmetry = Pmmm (47)

Cell lengths 3.4088, 4.8417, 7.5440 Å; angles 90.00, 90.00, 90.00 degrees
Last column: nearest neighbours and their distance in Å.
Positions (direct):
K 0.0000 0.0000 0.0000  2 K 3.41, 8 Cd 3.67, 2 Pb 3.77
Cd 0.5000 0.5000 0.2864  3 Cd 3.22-3.41, 4 Pb 3.37
Cd 0.5000 0.5000 0.7136  3 Cd 3.22-3.41, 4 Pb 3.37
Pb 0.0000 0.0000 0.5000  8 Cd 3.37, 2 Pb 3.41, 2 K 3.77

***

First-principles (PBE) data for a relaxed TePS5 crystal, as listed in Alexandria.

- energy relative to the elements, uncorrected (eV/atom) = 0.132
- uncorrected energy (eV/atom) = -4.0381
- N(E_F) (states/eV/cell) = 6.97
- volume (Å³ per atom) = 24.862
- crystal system = monoclinic
- symmetry = C2/c (15)

Cell lengths 6.5766, 6.5766, 9.1909 Å; angles 107.56, 107.56, 98.81 degrees
Last column: nearest neighbours and their distance in Å.
Positions (direct):
Te 0.0000 0.0000 0.0000  6 S 2.58-2.69
Te 0.0000 0.0000 0.5000  6 S 2.58-2.69
P 0.3299 0.6701 0.7500  4 S 2.06-2.07
P 0.6701 0.3299 0.2500  4 S 2.06-2.07
S 0.0744 0.6245 0.8330  1 P 2.06
S 0.1169 0.8831 0.2500  2 Te 2.58
S 0.2736 0.3859 0.5518  1 P 2.07
S 0.3755 0.9256 0.6670  1 P 2.06
S 0.3859 0.2736 0.0518  1 P 2.07
S 0.6141 0.7264 0.9482  1 P 2.07
S 0.6245 0.0744 0.3330  1 P 2.06
S 0.7264 0.6141 0.4482  1 P 2.07
S 0.8831 0.1169 0.7500  2 Te 2.58
S 0.9256 0.3755 0.1670  1 P 2.06

***

First-principles (PBE) data for a relaxed AcMg5Cu2 crystal, as listed in Alexandria.

- calculated formation energy (meV per atom) = -125
- uncorrected energy (eV/atom) = -2.6591
- N(E_F) (states/eV/cell) = 5.34
- volume (Å³ per atom) = 22.755
- crystal system = orthorhombic
- symmetry = Immm (71)

Cell lengths 6.9098, 6.9098, 6.9098 Å; angles 143.27, 108.08, 83.58 degrees
Last column: nearest neighbours and their distance in Å.
Positions (direct):
Ac 0.0000 0.0000 0.0000  4 Cu 3.32
Mg 0.1540 0.3407 0.8133  3 Cu 2.69-2.84
Mg 0.4726 0.6593 0.8133  3 Cu 2.69-2.84
Mg 0.5000 0.0000 0.5000  2 Cu 2.64
Mg 0.5274 0.3407 0.1867  3 Cu 2.69-2.84
Mg 0.8460 0.6593 0.1867  3 Cu 2.69-2.84
Cu 0.2433 0.7433 0.5000  7 Mg 2.64-2.84
Cu 0.7567 0.2567 0.5000  7 Mg 2.64-2.84

***

First-principles (PBE) data for a relaxed SrU2O6 crystal, as listed in Alexandria.

- energy relative to the elements, uncorrected (eV/atom) = -3.204
- uncorrected energy (eV/atom) = -9.2046
- N(E_F) (states/eV/cell) = 8.52
- volume (Å³ per atom) = 13.559
- distance to the lowest polymorph of the same formula (eV/atom) = 0.006
- crystal system = tetragonal
- symmetry = I4/mmm (139)

Cell lengths 8.8950, 8.8950, 8.8950 Å; angles 155.38, 155.38, 35.10 degrees
Last column: nearest neighbours and their distance in Å.
Positions (direct):
Sr 0.0000 0.0000 0.0000  8 O 2.53
U 0.3344 0.3344 0.0000  8 O 2.21-2.38
U 0.6656 0.6656 0.0000  8 O 2.21-2.38
O 0.0989 0.5989 0.5000  2 U 2.21
O 0.2500 0.7500 0.5000  4 U 2.38, 2 O 2.56
O 0.4011 0.9011 0.5000  2 U 2.21
O 0.5989 0.0989 0.5000  2 U 2.21
O 0.7500 0.2500 0.5000  4 U 2.38, 2 O 2.56
O 0.9011 0.4011 0.5000  2 U 2.21